A plane-wave DFT calculation with PBE was carried out for a geometry-optimized Pa2GaSe structure.

Cell lengths 3.398, 3.398, 7.610 Å; angles 90.00, 90.00, 90.00 degrees
Element x y z (fractional)
Ga 0.500 0.500 0.500
Se 0.500 0.500 0.000
Pa 0.000 0.000 0.244
Pa 0.000 0.000 0.756

## Properties
Calculated density: 11.545 g/cm³
Space group: No. 123
Energy above the most stable polymorph in this dataset: 0.09 eV per formula unit
E_form (uncorrected): -0.58 eV/atom
Magnetic moment: 0.03 μB/cell


A plane-wave DFT calculation with PBE was carried out for a geometry-optimized PaGaSe6 structure.

Cell lengths 5.423, 5.423, 6.824 Å; angles 96.55, 96.55, 96.79 degrees
Element x y z (fractional)
Se 0.200 0.200 0.695
Se 0.856 0.478 0.778
Ga 0.500 0.500 0.500
Se 0.478 0.856 0.778
Se 0.522 0.144 0.222
Se 0.800 0.800 0.305
Se 0.144 0.522 0.222
Pa 0.000 0.000 0.000

## Properties
Calculated density: 6.550 g/cm³
Space group: No. 12
E_form (uncorrected): -0.59 eV/atom
Magnetic moment: 0.00 μB/cell


A plane-wave DFT calculation with PBE was carried out for a geometry-optimized Pa5GaSe4 structure.

Cell lengths 4.248, 5.773, 10.473 Å; angles 106.00, 101.70, 90.00 degrees
Element x y z (fractional)
Ga 0.000 0.000 0.000
Se 0.799 0.799 0.597
Se 0.600 0.600 0.199
Se 0.400 0.400 0.801
Pa 0.399 0.899 0.797
Pa 0.000 0.500 0.000
Se 0.201 0.201 0.403
Pa 0.801 0.301 0.602
Pa 0.601 0.101 0.203
Pa 0.199 0.699 0.398

## Properties
Calculated density: 10.601 g/cm³
Space group: No. 71
E_form (uncorrected): -0.98 eV/atom
Magnetic moment: 1.15 μB/cell


A plane-wave DFT calculation with PBE was carried out for a geometry-optimized Pa4GaSe3 structure.

Cell lengths 5.794, 5.794, 5.794 Å; angles 90.00, 90.00, 90.00 degrees
Element x y z (fractional)
Pa 0.500 0.500 0.500
Pa 0.000 0.000 0.500
Pa 0.000 0.500 0.000
Se 0.000 0.500 0.500
Pa 0.500 0.000 0.000
Se 0.500 0.500 0.000
Ga 0.000 0.000 0.000
Se 0.500 0.000 0.500

## Properties
Calculated density: 10.508 g/cm³
Space group: No. 221
E_form (uncorrected): -0.93 eV/atom
Magnetic moment: 1.29 μB/cell


A plane-wave DFT calculation with PBE was carried out for a geometry-optimized PaGaSnSe structure.

Cell lengths 4.690, 4.690, 8.359 Å; angles 90.00, 90.00, 90.00 degrees
Element x y z (fractional)
Sn 0.000 0.500 0.310
Se 0.000 0.000 0.000
Ga 0.500 0.500 0.500
Ga 0.000 0.000 0.500
Pa 0.500 0.000 0.220
Sn 0.500 0.000 0.690
Pa 0.000 0.500 0.780
Se 0.500 0.500 0.000

## Properties
Calculated density: 9.004 g/cm³
Space group: No. 129
E_form (uncorrected): -0.50 eV/atom
Magnetic moment: 1.78 μB/cell


A plane-wave DFT calculation with PBE was carried out for a geometry-optimized PaTl2GaSe5 structure.

Cell lengths 4.152, 9.702, 14.371 Å; angles 90.00, 90.00, 102.35 degrees
Element x y z (fractional)
Tl 0.118 0.236 0.333
Tl 0.885 0.769 0.177
Se 0.947 0.895 0.524
Pa 0.206 0.412 0.028
Pa 0.794 0.588 0.528
Tl 0.882 0.764 0.833
Tl 0.115 0.231 0.677
Se 0.297 0.594 0.656
Se 0.497 0.995 0.282
Se 0.053 0.105 0.024
Se 0.696 0.393 0.891
Se 0.703 0.406 0.156
Se 0.655 0.311 0.511
Se 0.304 0.607 0.391
Ga 0.435 0.869 0.421
Ga 0.565 0.131 0.921
Se 0.345 0.689 0.011
Se 0.503 0.005 0.782

## Properties
Calculated density: 6.486 g/cm³
Space group: No. 36
E_form (uncorrected): -0.82 eV/atom
Magnetic moment: 0.20 μB/cell


Q: Number 2 is which compound?
A: PaGaSe6


Q: What is the magnetic moment in the fourth record?
A: 1.29 μB/cell